# 1
Here is a relaxed CaAlSeS2 crystal from Alexandria. Energies are from PBE.

Results
The calculated volume comes out at 220 Å³ per cell. For the total magnetization, the calculation gives 0.000 μB/f.u. As for the uncorrected formation energy: -0.5740 eV per atom.

Cell: 4.348 4.348 11.614 Å, 90.00 90.00 90.00°
Positions (direct):
Ca1 0.000 0.000 0.000
Al1 0.000 0.000 0.500
Se1 0.500 0.500 0.000
S1 0.000 0.500 0.500
S2 0.500 0.000 0.500

=====

# 2
Here is a relaxed Te2AsRh crystal from Alexandria. Energies are from PBE.

Results
The calculated volume comes out at 85 Å³ per cell. For the total magnetization, the calculation gives 0.000 μB/f.u. As for the uncorrected formation energy: 0.4494 eV per atom.

Cell: 4.939 4.939 4.939 Å, 60.00 60.00 60.00°
Positions (direct):
Te1 0.000 0.000 0.000
Te2 0.250 0.250 0.250
As1 0.500 0.500 0.500
Rh1 0.750 0.750 0.750

=====

# 3
Here is a relaxed In2SbAu2 crystal from Alexandria. Energies are from PBE.

Results
The calculated volume comes out at 121 Å³ per cell. For the total magnetization, the calculation gives 0.000 μB/f.u. As for the uncorrected formation energy: -0.0085 eV per atom. The calculation puts the energy above the most stable polymorph in this dataset at 0.061 eV/atom.

Cell: 8.369 8.369 8.369 Å, 152.99 152.99 38.58°
Positions (direct):
In1 0.105 0.105 0.000
In2 0.895 0.895 0.000
Sb1 0.500 0.500 0.000
Au1 0.250 0.750 0.500
Au2 0.750 0.250 0.500

=====

# 4
Here is a relaxed DyThHgIr crystal from Alexandria. Energies are from PBE.

Results
The calculated volume comes out at 111 Å³ per cell. For the total magnetization, the calculation gives 0.000 μB/f.u. The calculation puts the formation energy at -62.1 kJ per mole of atoms. The calculation puts the energy above the most stable polymorph in this dataset at 0.000 eV/atom.

Cell: 7.862 7.862 7.862 Å, 30.53 30.53 30.53°
Positions (direct):
Dy1 0.000 0.000 0.000
Th1 0.200 0.200 0.200
Hg1 0.762 0.762 0.762
Ir1 0.600 0.600 0.600

=====

# 5
Here is a relaxed BaHgTe2 crystal from Alexandria. Energies are from PBE.

Results
The calculated volume comes out at 136 Å³ per cell. For the total magnetization, the calculation gives 0.000 μB/f.u. As for the uncorrected formation energy: -0.5980 eV per atom.

Cell: 5.774 5.774 5.774 Å, 60.00 60.00 60.00°
Positions (direct):
Ba1 0.000 0.000 0.000
Hg1 0.250 0.250 0.250
Te1 0.500 0.500 0.500
Te2 0.750 0.750 0.750

=====

# 6
Here is a relaxed La2CdRuC crystal from Alexandria. Energies are from PBE.

Results
The calculated volume comes out at 126 Å³ per cell. For the total magnetization, the calculation gives 0.000 μB/f.u. The calculation puts the formation energy at 14.3 kJ per mole of atoms. The calculation puts the energy above the most stable polymorph in this dataset at 0.429 eV/atom.

Cell: 5.640 5.640 3.968 Å, 90.00 90.00 90.00°
Positions (direct):
La1 0.000 0.500 0.000
La2 0.500 0.000 0.000
Cd1 0.000 0.000 0.500
Ru1 0.500 0.500 0.000
C1 0.500 0.500 0.500